Entry 1:
This record from the Alexandria database describes a geometry-optimized Eu2In4Co structure. The functional is GGA-PBE.

Cell: 9.047 9.047 9.047 Å, 148.54 148.54 45.08°
Fractional coordinates of all 7 atoms:
Eu 0.152 0.152 0.000
Eu 0.848 0.848 0.000
In 0.000 0.500 0.500
In 0.347 0.347 0.000
In 0.500 0.000 0.500
In 0.653 0.653 0.000
Co 0.500 0.500 0.000

Summary:
DFT total energy   -39.9 eV per cell
Size of the total moment   15.38 μB per formula unit
ΔH_f (0 K)   -1.3 eV/f.u.
D(E_F)   22.2 states/eV per cell
V   201.0 Å³/cell

Entry 2:
This record from the Alexandria database describes a geometry-optimized Rb2AlAuN structure. The functional is GGA-PBE.

Cell: 6.710 6.710 4.826 Å, 90.00 90.00 90.00°
Fractional coordinates of all 5 atoms:
Rb 0.000 0.500 0.000
Rb 0.500 0.000 0.000
Al 0.000 0.000 0.500
Au 0.000 0.000 0.000
N 0.500 0.500 0.500

Summary:
DFT total energy   -13.3 eV per cell
Size of the total moment   1.95 μB per formula unit
D(E_F)   4.1 states/eV per cell
V   217.3 Å³/cell
ΔE_f (raw)   3.98 eV per formula unit

Entry 3:
This record from the Alexandria database describes a geometry-optimized Al6IrRu5 structure. The functional is GGA-PBE.

Cell: 7.357 7.357 7.357 Å, 146.40 131.75 60.07°
Fractional coordinates of all 12 atoms:
Al 0.081 0.333 0.748
Al 0.247 0.000 0.247
Al 0.416 0.667 0.748
Al 0.584 0.333 0.252
Al 0.753 0.000 0.753
Al 0.919 0.667 0.252
Ir 0.500 0.500 0.000
Ru 0.000 0.500 0.500
Ru 0.167 0.167 0.000
Ru 0.334 0.834 0.500
Ru 0.666 0.166 0.500
Ru 0.833 0.833 0.000

Summary:
DFT total energy   -86.5 eV per cell
Size of the total moment   0.00 μB per formula unit
ΔH_f (0 K)   -8.8 eV/f.u.
D(E_F)   10.7 states/eV per cell
V   162.9 Å³/cell